Here is crystalline TmTiCl at its relaxed geometry from the Alexandria database. Energies are from PBE.

Computed properties:
N(E_F), states/eV per atom: 0.8353
Theoretical density, g/cm³: 6.443
Energy relative to the elements, uncorrected, eV per atom: -0.702

Lattice parameters (Å, degrees): 3.3805 5.0003 7.7322 90.00 95.85 90.00
Last column: nearest neighbours and their distance in Å.
Space group P2_1/m (No. 11)
Unique sites:
Tm  0.1242  0.2500  0.2718  4 Cl 2.75-3.03, 2 Ti 3.00-3.05
Ti  0.4383  0.7500  0.0541  2 Ti 2.68, 1 Cl 2.90, 1 Tm 3.00
Cl  0.2650  0.7500  0.4132  4 Tm 2.75-3.03, 1 Ti 2.90